Record 1
Material: Sc2BeAlAu
Method: DFT, PBE
State: relaxed

Output
Density of states at the Fermi level ... 6.242 states/eV per cell
Theoretical density ... 4458 kg/m³
ΔH_f (0 K) ... 621 meV/atom
Total DFT energy (no corrections) ... -20.3 eV per formula unit

Cell lengths 5.107, 5.107, 4.611 Å; angles 90.00, 90.00, 90.00 degrees
Space group P4/mmm (No. 123)
Asymmetric unit:
Sc 0.000 0.500 0.000 x2
Be 0.000 0.000 0.500 x1
Al 0.500 0.500 0.000 x1
Au 0.500 0.500 0.500 x1

---

Record 2
Material: ScBeAl2Au4
Method: DFT, PBE
State: relaxed

Output
Density of states at the Fermi level ... 7.871 states/eV per cell
Theoretical density ... 11091 kg/m³
ΔH_f (0 K) ... -435 meV/atom
Total DFT energy (no corrections) ... -34.1 eV per formula unit

Cell lengths 4.4030, 4.4030, 23.9663 Å; angles 90.00, 90.00, 120.00 degrees
Space group R-3m (No. 166, hexagonal axes)
Asymmetric unit:
Sc 0.0000 0.0000 0.0000 x3
Be 0.0000 0.0000 0.5000 x3
Al 0.0000 0.0000 0.2489 x6
Au 0.0000 0.0000 0.1344 x6
Au 0.0000 0.0000 0.3938 x6

---

Record 3
Material: SmBe2AlAu5
Method: DFT, PBE
State: relaxed

Output
Density of states at the Fermi level ... 5.276 states/eV per cell
Theoretical density ... 11481 kg/m³
ΔH_f (0 K) ... -273 meV/atom
Total DFT energy (no corrections) ... -34.8 eV per formula unit

Cell lengths 4.380, 4.380, 8.896 Å; angles 90.00, 90.00, 90.00 degrees
Space group P4/mmm (No. 123)
Asymmetric unit:
Sm 0.000 0.000 0.000 x1
Be 0.500 0.500 0.249 x2
Al 0.000 0.000 0.500 x1
Au 0.000 0.500 0.329 x4
Au 0.500 0.500 0.000 x1

---

Record 4
Material: Sm2BeAl4Au3
Method: DFT, PBE
State: relaxed

Output
Density of states at the Fermi level ... 4.955 states/eV per cell
Theoretical density ... 8571 kg/m³
ΔH_f (0 K) ... -610 meV/atom
Total DFT energy (no corrections) ... -44.1 eV per formula unit

Cell lengths 4.301, 4.301, 10.563 Å; angles 90.00, 90.00, 90.00 degrees
Space group P-4m2 (No. 115)
Asymmetric unit:
Sm 0.000 0.500 0.240 x2
Be 0.500 0.500 0.000 x1
Al 0.000 0.000 0.500 x1
Al 0.000 0.500 0.874 x2
Al 0.500 0.500 0.500 x1
Au 0.000 0.000 0.000 x1
Au 0.000 0.500 0.636 x2

---

Record 5
Material: Sm2Be3AlAu4
Method: DFT, PBE
State: relaxed

Output
Density of states at the Fermi level ... 3.722 states/eV per cell
Theoretical density ... 10614 kg/m³
ΔH_f (0 K) ... -520 meV/atom
Total DFT energy (no corrections) ... -42.7 eV per formula unit

Cell lengths 4.332, 4.332, 9.526 Å; angles 90.00, 90.00, 90.00 degrees
Space group P-4m2 (No. 115)
Asymmetric unit:
Sm 0.000 0.500 0.249 x2
Be 0.000 0.500 0.886 x2
Be 0.500 0.500 0.500 x1
Al 0.000 0.000 0.500 x1
Au 0.000 0.000 0.000 x1
Au 0.000 0.500 0.640 x2
Au 0.500 0.500 0.000 x1

---

Record 6
Material: SmBeAl2Au4
Method: DFT, PBE
State: relaxed

Output
Density of states at the Fermi level ... 5.839 states/eV per cell
Theoretical density ... 11379 kg/m³
ΔH_f (0 K) ... -488 meV/atom
Total DFT energy (no corrections) ... -32.9 eV per formula unit

Cell lengths 4.3720, 4.3720, 26.4799 Å; angles 90.00, 90.00, 120.00 degrees
Space group R-3m (No. 166, hexagonal axes)
Asymmetric unit:
Sm 0.0000 0.0000 0.0000 x3
Be 0.0000 0.0000 0.5000 x3
Al 0.0000 0.0000 0.2418 x6
Au 0.0000 0.0000 0.1383 x6
Au 0.0000 0.0000 0.4020 x6

---

Record 7
Material: SrBeAl2Au5
Method: DFT, PBE
State: relaxed

Output
Density of states at the Fermi level ... 7.391 states/eV per cell
Theoretical density ... 10080 kg/m³
ΔH_f (0 K) ... -392 meV/atom
Total DFT energy (no corrections) ... -32.8 eV per formula unit

Cell lengths 4.529, 7.213, 11.449 Å; angles 90.00, 90.00, 90.00 degrees
Space group Immm (No. 71)
Asymmetric unit:
Sr 0.000 0.000 0.000 x2
Be 0.000 0.000 0.500 x2
Al 0.000 0.500 0.225 x4
Au 0.000 0.201 0.335 x8
Au 0.000 0.500 0.000 x2

---

Record 8
Material: SrBeAl2Au4
Method: DFT, PBE
State: relaxed

Output
Density of states at the Fermi level ... 13.259 states/eV per cell
Theoretical density ... 10023 kg/m³
ΔH_f (0 K) ... -428 meV/atom
Total DFT energy (no corrections) ... -29.4 eV per formula unit

Cell lengths 4.3878, 4.3878, 27.9752 Å; angles 90.00, 90.00, 120.00 degrees
Space group R-3m (No. 166, hexagonal axes)
Asymmetric unit:
Sr 0.0000 0.0000 0.0000 x3
Be 0.0000 0.0000 0.5000 x3
Al 0.0000 0.0000 0.2389 x6
Au 0.0000 0.0000 0.1400 x6
Au 0.0000 0.0000 0.4098 x6

---

Record 9
Material: SrBeAlAu6
Method: DFT, PBE
State: relaxed

Output
Density of states at the Fermi level ... 12.970 states/eV per cell
Theoretical density ... 10860 kg/m³
ΔH_f (0 K) ... -230 meV/atom
Total DFT energy (no corrections) ... -30.9 eV per formula unit

Cell lengths 8.012, 8.599, 11.589 Å; angles 90.00, 90.00, 90.00 degrees
Space group Imma (No. 74)
Asymmetric unit:
Sr 0.000 0.250 0.165 x4
Be 0.000 0.000 0.500 x4
Al 0.250 0.250 0.750 x4
Au 0.000 0.250 0.432 x4
Au 0.000 0.250 0.883 x4
Au 0.223 0.011 0.625 x16

---

Record 10
Material: SrBe2AlAu4
Method: DFT, PBE
State: relaxed

Output
Density of states at the Fermi level ... 7.004 states/eV per cell
Theoretical density ... 10214 kg/m³
ΔH_f (0 K) ... -279 meV/atom
Total DFT energy (no corrections) ... -28.2 eV per formula unit

Cell lengths 4.1969, 4.1969, 29.4316 Å; angles 90.00, 90.00, 120.00 degrees
Space group R-3m (No. 166, hexagonal axes)
Asymmetric unit:
Sr 0.0000 0.0000 0.0000 x3
Be 0.0000 0.0000 0.2407 x6
Al 0.0000 0.0000 0.5000 x3
Au 0.0000 0.0000 0.1305 x6
Au 0.0000 0.0000 0.4078 x6

---

Record 11
Material: Tb2BeAl4Au3
Method: DFT, PBE
State: relaxed

Output
Density of states at the Fermi level ... 5.104 states/eV per cell
Theoretical density ... 8907 kg/m³
ΔH_f (0 K) ... -596 meV/atom
Total DFT energy (no corrections) ... -43.7 eV per formula unit

Cell lengths 4.228, 4.228, 10.695 Å; angles 90.00, 90.00, 90.00 degrees
Space group P-4m2 (No. 115)
Asymmetric unit:
Tb 0.000 0.500 0.239 x2
Be 0.500 0.500 0.000 x1
Al 0.000 0.000 0.500 x1
Al 0.000 0.500 0.872 x2
Al 0.500 0.500 0.500 x1
Au 0.000 0.000 0.000 x1
Au 0.000 0.500 0.639 x2

---

Record 12
Material: TbBeAl2Au5
Method: DFT, PBE
State: relaxed

Output
Density of states at the Fermi level ... 8.346 states/eV per cell
Theoretical density ... 11513 kg/m³
ΔH_f (0 K) ... -351 meV/atom
Total DFT energy (no corrections) ... -35.4 eV per formula unit

Cell lengths 4.443, 5.971, 13.121 Å; angles 90.00, 90.00, 90.00 degrees
Space group Immm (No. 71)
Asymmetric unit:
Tb 0.000 0.000 0.000 x2
Be 0.000 0.000 0.500 x2
Al 0.000 0.500 0.195 x4
Au 0.000 0.258 0.356 x8
Au 0.000 0.500 0.000 x2